Run i
The following is a PBE-GGA calculation of crystalline CrAgAs2 at its relaxed geometry, from Alexandria.

Cell and atoms, written as POSCAR:
```
CrAgAs2
1.0
3.034 0.000 0.000
0.000 2.934 0.000
-0.044 0.000 7.809
Cr Ag As
1 1 2
direct
0.000 0.000 0.000 Cr
0.500 0.000 0.500 Ag
0.497 0.500 0.812 As
0.503 0.500 0.188 As
```


Run ii
The following is a PBE-GGA calculation of crystalline CrAgAs2 at its relaxed geometry, from Alexandria.

Cell and atoms, written as POSCAR:
```
CrAgAs2
1.0
3.046 0.000 0.000
0.000 4.574 0.000
-1.492 0.000 5.097
Cr Ag As
1 1 2
direct
0.000 0.000 0.000 Cr
0.185 0.500 0.369 Ag
0.438 0.500 0.894 As
0.724 0.000 0.445 As
```


The computed energies, referenced to the most stable structure and given in meV/atom, are run i 0; run ii 109.


Run i
The following is a PBE-GGA calculation of crystalline CsAgAs at its relaxed geometry, from Alexandria.

Cell and atoms, written as POSCAR:
```
CsAgAs
1.0
4.448 0.000 0.000
-2.224 3.852 0.000
0.000 0.000 5.898
Cs Ag As
1 1 1
direct
0.000 0.000 0.000 Cs
0.667 0.333 0.500 Ag
0.333 0.667 0.500 As
```


Run ii
The following is a PBE-GGA calculation of crystalline CsAgAs at its relaxed geometry, from Alexandria.

Cell and atoms, written as POSCAR:
```
CsAgAs
1.0
5.825 0.000 0.000
0.000 4.223 0.000
-0.041 0.000 8.449
Cs Ag As
2 2 2
direct
0.012 0.250 0.238 Cs
0.988 0.750 0.762 Cs
0.499 0.750 0.393 Ag
0.501 0.250 0.607 Ag
0.458 0.250 0.921 As
0.542 0.750 0.079 As
```


Run iii
The following is a PBE-GGA calculation of crystalline CsAgAs at its relaxed geometry, from Alexandria.

Cell and atoms, written as POSCAR:
```
CsAgAs
1.0
-2.387 4.172 5.421
2.387 -4.172 5.421
2.387 4.172 -5.421
Cs Ag As
2 2 2
direct
0.000 0.000 0.000 Cs
0.585 0.085 0.500 Cs
0.083 0.761 0.322 Ag
0.439 0.761 0.678 Ag
0.179 0.336 0.844 As
0.492 0.336 0.156 As
```


The computed energies, referenced to the most stable structure and given in meV/atom, are run i 63; run ii 98; run iii 0.


Run i
The following is a PBE-GGA calculation of crystalline CsAgAs3 at its relaxed geometry, from Alexandria.

Cell and atoms, written as POSCAR:
```
CsAgAs3
1.0
5.262 0.000 0.000
0.000 5.262 0.000
0.000 0.000 5.262
Cs Ag As
1 1 3
direct
0.000 0.000 0.000 Cs
0.500 0.500 0.500 Ag
0.000 0.500 0.500 As
0.500 0.000 0.500 As
0.500 0.500 0.000 As
```


Run ii
The following is a PBE-GGA calculation of crystalline CsAgAs3 at its relaxed geometry, from Alexandria.

Cell and atoms, written as POSCAR:
```
CsAgAs3
1.0
5.747 0.000 0.000
0.000 5.747 0.000
0.000 0.000 5.747
Cs Ag As
1 1 3
direct
0.000 0.000 0.000 Cs
0.500 0.500 0.500 Ag
0.000 0.000 0.500 As
0.000 0.500 0.000 As
0.500 0.000 0.000 As
```


The computed energies, referenced to the most stable structure and given in meV/atom, are run i 0; run ii 1346.


Run i
The following is a PBE-GGA calculation of crystalline CsAgHg2As at its relaxed geometry, from Alexandria.

Cell and atoms, written as POSCAR:
```
CsAgHg2As
1.0
7.285 0.000 0.000
0.000 7.285 0.000
0.000 0.000 6.890
Cs Ag Hg As
1 1 2 1
direct
0.000 0.000 0.000 Cs
0.500 0.500 0.500 Ag
0.000 0.500 0.000 Hg
0.500 0.000 0.000 Hg
0.000 0.000 0.500 As
```


Run ii
The following is a PBE-GGA calculation of crystalline CsAgHg2As at its relaxed geometry, from Alexandria.

Cell and atoms, written as POSCAR:
```
CsAgHg2As
1.0
5.653 0.000 0.000
0.000 5.653 0.000
0.000 0.000 5.255
Cs Ag Hg As
1 1 2 1
direct
0.000 0.000 0.000 Cs
0.500 0.500 0.000 Ag
0.000 0.500 0.500 Hg
0.500 0.000 0.500 Hg
0.500 0.500 0.500 As
```


The computed energies, referenced to the most stable structure and given in meV/atom, are run i 823; run ii 0.


Run i
The following is a PBE-GGA calculation of crystalline Cu3AgAs at its relaxed geometry, from Alexandria.

Cell and atoms, written as POSCAR:
```
Cu3AgAs
1.0
4.670 0.000 0.000
0.000 4.670 0.000
0.000 0.000 4.670
Cu Ag As
3 1 1
direct
0.000 0.000 0.500 Cu
0.000 0.500 0.000 Cu
0.500 0.000 0.000 Cu
0.000 0.000 0.000 Ag
0.500 0.500 0.500 As
```


Run ii
The following is a PBE-GGA calculation of crystalline Cu3AgAs at its relaxed geometry, from Alexandria.

Cell and atoms, written as POSCAR:
```
Cu3AgAs
1.0
4.501 0.000 0.000
0.000 4.501 0.000
0.000 0.000 4.501
Cu Ag As
3 1 1
direct
0.000 0.000 0.500 Cu
0.000 0.500 0.000 Cu
0.500 0.000 0.000 Cu
0.500 0.500 0.500 Ag
0.000 0.000 0.000 As
```


The computed energies, referenced to the most stable structure and given in meV/atom, are run i 633; run ii 0.


Run i
The following is a PBE-GGA calculation of crystalline Ag2AsF at its relaxed geometry, from Alexandria.

Cell and atoms, written as POSCAR:
```
Ag2AsF
1.0
-3.331 3.331 3.249
3.331 -3.331 3.249
3.331 3.331 -3.249
Ag As F
4 2 2
direct
0.099 0.125 0.474 Ag
0.375 0.901 0.026 Ag
0.651 0.625 0.526 Ag
0.875 0.349 0.974 Ag
0.250 0.750 0.500 As
0.500 0.500 0.000 As
0.000 0.000 0.000 F
0.750 0.250 0.500 F
```


Run ii
The following is a PBE-GGA calculation of crystalline Ag2AsF at its relaxed geometry, from Alexandria.

Cell and atoms, written as POSCAR:
```
Ag2AsF
1.0
0.000 3.198 3.198
3.198 0.000 3.198
3.198 3.198 0.000
Ag As F
2 1 1
direct
0.250 0.250 0.250 Ag
0.750 0.750 0.750 Ag
0.000 0.000 0.000 As
0.500 0.500 0.500 F
```


The computed energies, referenced to the most stable structure and given in meV/atom, are run i 0; run ii 83.


Run i
The following is a PBE-GGA calculation of crystalline AgAsF3 at its relaxed geometry, from Alexandria.

Cell and atoms, written as POSCAR:
```
AgAsF3
1.0
4.321 0.000 0.000
0.000 4.321 0.000
0.000 0.000 4.321
Ag As F
1 1 3
direct
0.000 0.000 0.000 Ag
0.500 0.500 0.500 As
0.000 0.500 0.500 F
0.500 0.000 0.500 F
0.500 0.500 0.000 F
```


Run ii
The following is a PBE-GGA calculation of crystalline AgAsF3 at its relaxed geometry, from Alexandria.

Cell and atoms, written as POSCAR:
```
AgAsF3
1.0
4.378 0.000 0.000
0.000 4.378 0.000
0.000 0.000 4.378
Ag As F
1 1 3
direct
0.000 0.000 0.000 Ag
0.500 0.500 0.500 As
0.000 0.000 0.500 F
0.000 0.500 0.000 F
0.500 0.000 0.000 F
```


The computed energies, referenced to the most stable structure and given in meV/atom, are run i 0; run ii 561.


Run i
The following is a PBE-GGA calculation of crystalline Li2AgAsF6 at its relaxed geometry, from Alexandria.

Cell and atoms, written as POSCAR:
```
Li2AgAsF6
1.0
0.000 4.398 4.398
4.398 0.000 4.398
4.398 4.398 0.000
Li Ag As F
2 1 1 6
direct
0.250 0.250 0.250 Li
0.750 0.750 0.750 Li
0.000 0.000 0.000 Ag
0.500 0.500 0.500 As
0.268 0.268 0.732 F
0.268 0.732 0.268 F
0.268 0.732 0.732 F
0.732 0.268 0.268 F
0.732 0.268 0.732 F
0.732 0.732 0.268 F
```


Run ii
The following is a PBE-GGA calculation of crystalline Li2AgAsF6 at its relaxed geometry, from Alexandria.

Cell and atoms, written as POSCAR:
```
Li2AgAsF6
1.0
2.775 1.602 4.844
-2.775 1.602 4.844
0.000 -3.205 4.844
Li Ag As F
2 1 1 6
direct
0.000 0.000 0.000 Li
0.455 0.455 0.455 Li
0.201 0.201 0.201 Ag
0.679 0.679 0.679 As
0.111 0.366 0.742 F
0.302 0.828 0.653 F
0.366 0.742 0.111 F
0.653 0.302 0.828 F
0.742 0.111 0.366 F
0.828 0.653 0.302 F
```


The computed energies, referenced to the most stable structure and given in meV/atom, are run i 344; run ii 0.


Run i
The following is a PBE-GGA calculation of crystalline AgAsN2F at its relaxed geometry, from Alexandria.

Cell and atoms, written as POSCAR:
```
AgAsN2F
1.0
4.134 0.000 0.000
0.000 4.134 0.000
0.000 0.000 4.094
Ag As N F
1 1 2 1
direct
0.000 0.000 0.000 Ag
0.500 0.500 0.500 As
0.000 0.500 0.000 N
0.500 0.000 0.000 N
0.000 0.000 0.500 F
```


Run ii
The following is a PBE-GGA calculation of crystalline AgAsN2F at its relaxed geometry, from Alexandria.

Cell and atoms, written as POSCAR:
```
AgAsN2F
1.0
3.792 0.000 0.000
0.000 3.792 0.000
0.000 0.000 4.256
Ag As N F
1 1 2 1
direct
0.000 0.000 0.000 Ag
0.500 0.500 0.500 As
0.000 0.500 0.500 N
0.500 0.000 0.500 N
0.500 0.500 0.000 F
```


The computed energies, referenced to the most stable structure and given in meV/atom, are run i 772; run ii 0.


Run i
The following is a PBE-GGA calculation of crystalline AgAsNF2 at its relaxed geometry, from Alexandria.

Cell and atoms, written as POSCAR:
```
AgAsNF2
1.0
4.202 0.000 0.000
0.000 4.202 0.000
0.000 0.000 4.176
Ag As N F
1 1 1 2
direct
0.000 0.000 0.000 Ag
0.500 0.500 0.500 As
0.000 0.000 0.500 N
0.000 0.500 0.000 F
0.500 0.000 0.000 F
```


Run ii
The following is a PBE-GGA calculation of crystalline AgAsNF2 at its relaxed geometry, from Alexandria.

Cell and atoms, written as POSCAR:
```
AgAsNF2
1.0
4.342 0.000 0.000
0.000 4.342 0.000
0.000 0.000 3.693
Ag As N F
1 1 1 2
direct
0.000 0.000 0.000 Ag
0.500 0.500 0.500 As
0.500 0.500 0.000 N
0.000 0.500 0.500 F
0.500 0.000 0.500 F
```


The computed energies, referenced to the most stable structure and given in meV/atom, are run i 800; run ii 0.


Run i
The following is a PBE-GGA calculation of crystalline Na2AgAsF6 at its relaxed geometry, from Alexandria.

Cell and atoms, written as POSCAR:
```
Na2AgAsF6
1.0
2.957 1.707 5.015
-2.957 1.707 5.015
0.000 -3.415 5.015
Na Ag As F
2 1 1 6
direct
0.000 0.000 0.000 Na
0.483 0.483 0.483 Na
0.209 0.209 0.209 Ag
0.699 0.699 0.699 As
0.078 0.418 0.790 F
0.354 0.871 0.618 F
0.418 0.790 0.078 F
0.618 0.354 0.871 F
0.790 0.078 0.418 F
0.871 0.618 0.354 F
```


Run ii
The following is a PBE-GGA calculation of crystalline Na2AgAsF6 at its relaxed geometry, from Alexandria.

Cell and atoms, written as POSCAR:
```
Na2AgAsF6
1.0
0.000 4.416 4.416
4.416 0.000 4.416
4.416 4.416 0.000
Na Ag As F
2 1 1 6
direct
0.250 0.250 0.250 Na
0.750 0.750 0.750 Na
0.000 0.000 0.000 Ag
0.500 0.500 0.500 As
0.268 0.268 0.732 F
0.268 0.732 0.268 F
0.268 0.732 0.732 F
0.732 0.268 0.268 F
0.732 0.268 0.732 F
0.732 0.732 0.268 F
```


The computed energies, referenced to the most stable structure and given in meV/atom, are run i 0; run ii 155.


Run i
The following is a PBE-GGA calculation of crystalline AgAsSe2F at its relaxed geometry, from Alexandria.

Cell and atoms, written as POSCAR:
```
AgAsSe2F
1.0
5.063 0.000 0.000
0.000 5.063 0.000
0.000 0.000 4.080
Ag As Se F
1 1 2 1
direct
0.000 0.000 0.000 Ag
0.500 0.500 0.000 As
0.000 0.500 0.500 Se
0.500 0.000 0.500 Se
0.500 0.500 0.500 F
```


Run ii
The following is a PBE-GGA calculation of crystalline AgAsSe2F at its relaxed geometry, from Alexandria.

Cell and atoms, written as POSCAR:
```
AgAsSe2F
1.0
5.015 0.000 0.000
0.000 5.015 0.000
0.000 0.000 5.093
Ag As Se F
1 1 2 1
direct
0.000 0.000 0.000 Ag
0.000 0.000 0.500 As
0.000 0.500 0.000 Se
0.500 0.000 0.000 Se
0.500 0.500 0.500 F
```


The computed energies, referenced to the most stable structure and given in meV/atom, are run i 0; run ii 304.